Material: Na3PdS
Method: DFT, PBE
State: optimized geometry

Lattice parameters (Å, degrees): 5.2368 5.2368 5.2368 90.00 90.00 90.00
Sites, in units of the cell vectors:
Na 0.0000 0.5000 0.0000
Na 0.0000 0.0000 0.5000
Na 0.5000 0.0000 0.0000
S 0.5000 0.5000 0.5000
Pd 0.0000 0.0000 0.0000

Output
Space-group type: Pm-3m
Energy relative to the elements, uncorrected, eV per atom: 0.0937
Total magnetic moment, μB/f.u.: 0.00

---

Material: NaPdS2
Method: DFT, PBE
State: optimized geometry

Lattice parameters (Å, degrees): 4.6521 6.9638 6.5422 90.00 110.83 90.00
Sites, in units of the cell vectors:
Na 0.6832 0.7500 0.3663
Na 0.3168 0.2500 0.6337
Pd 0.0004 0.2500 0.0007
Pd 0.9996 0.7500 0.9993
S 0.1258 0.5000 0.2515
S 0.8742 0.5000 0.7485
S 0.1258 0.0000 0.2515
S 0.8742 0.0000 0.7485

Output
Space-group type: Cmcm
Energy relative to the elements, uncorrected, eV per atom: -0.4482
Total magnetic moment, μB/f.u.: 0.00

---

Material: NaPdS3
Method: DFT, PBE
State: optimized geometry

Lattice parameters (Å, degrees): 4.8028 4.8028 4.8028 90.00 90.00 90.00
Sites, in units of the cell vectors:
Na 0.0000 0.0000 0.0000
S 0.0000 0.5000 0.0000
S 0.0000 0.0000 0.5000
S 0.5000 0.0000 0.0000
Pd 0.5000 0.5000 0.5000

Output
Space-group type: Pm-3m
Energy relative to the elements, uncorrected, eV per atom: 1.1559
Total magnetic moment, μB/f.u.: 0.01

---

Material: NaPd2S
Method: DFT, PBE
State: optimized geometry

Lattice parameters (Å, degrees): 5.2661 5.2661 8.2892 71.48 71.48 90.00
Sites, in units of the cell vectors:
Na 0.5000 0.5000 0.0000
Na 0.2500 0.7500 0.5000
S 0.0000 0.0000 0.0000
S 0.7500 0.2500 0.5000
Pd 0.8766 0.1250 0.2500
Pd 0.8734 0.6250 0.2500
Pd 0.3750 0.1234 0.7500
Pd 0.8750 0.1266 0.7500

Output
Space-group type: I-42d
Energy relative to the elements, uncorrected, eV per atom: -0.3626
Total magnetic moment, μB/f.u.: 0.00

---

Material: NaPdS2
Method: DFT, PBE
State: optimized geometry

Lattice parameters (Å, degrees): 3.6818 3.6818 6.8705 74.46 74.46 60.00
Sites, in units of the cell vectors:
Na 0.4994 0.4994 0.5017
Pd 0.6669 0.6669 0.9993
S 0.0647 0.0647 0.8060
S 0.2690 0.2690 0.1929

Output
Space-group type: R3m
Energy relative to the elements, uncorrected, eV per atom: -0.4919
Total magnetic moment, μB/f.u.: 0.00

---

Material: NaPdS5
Method: DFT, PBE
State: optimized geometry

Lattice parameters (Å, degrees): 5.7399 7.5411 20.5130 40.28 47.46 72.50
Sites, in units of the cell vectors:
Na 0.3194 0.4123 0.4095
Na 0.6806 0.5877 0.5905
Pd 0.0000 0.0000 0.0000
Pd 0.5000 0.5000 0.5000
S 0.1831 0.6752 0.1134
S 0.4098 0.9994 0.6794
S 0.2420 0.7743 0.5277
S 0.3273 0.9875 0.2913
S 0.5627 0.0221 0.8989
S 0.4373 0.9780 0.1011
S 0.6726 0.0125 0.7087
S 0.7580 0.2257 0.4723
S 0.5902 0.0006 0.3206
S 0.8169 0.3248 0.8866

Output
Space-group type: P-1
Energy relative to the elements, uncorrected, eV per atom: -0.2166
Total magnetic moment, μB/f.u.: 0.00

---

Material: NaPdS2
Method: DFT, PBE
State: optimized geometry

Lattice parameters (Å, degrees): 8.8469 8.8469 8.8469 20.50 20.50 20.50
Sites, in units of the cell vectors:
Na 0.5000 0.5000 0.5000
S 0.9131 0.9131 0.9131
S 0.0869 0.0869 0.0869
Pd 0.0000 0.0000 0.0000

Output
Space-group type: R-3m
Energy relative to the elements, uncorrected, eV per atom: -0.0103
Total magnetic moment, μB/f.u.: 0.00

---

Material: NaPdS2
Method: DFT, PBE
State: optimized geometry

Lattice parameters (Å, degrees): 8.0085 8.0085 8.0085 26.57 26.57 26.57
Sites, in units of the cell vectors:
Na 0.0000 0.0000 0.0000
S 0.8864 0.8864 0.8864
S 0.1136 0.1136 0.1136
Pd 0.5000 0.5000 0.5000

Output
Space-group type: R-3m
Energy relative to the elements, uncorrected, eV per atom: -0.3094
Total magnetic moment, μB/f.u.: 0.00